DFT (PBE+U) results for an optimized crystal structure of PmMn2BiO6.

Summary:
E_tot: -0.26754 hartree per atom

Cell and atoms, written as extended XYZ:
```
10
Lattice="5.5168 0.0000 0.0000 2.7561 4.8345 0.0000 2.6300 1.6982 4.6334" Properties=species:S:1:pos:R:3 pbc="T T T"
Pm 0.0000 0.0000 0.0000
Mn 2.7416 1.5943 1.2571
Mn 8.1821 4.8590 3.5671
Bi 5.3518 3.1576 2.5547
O 2.8312 3.4766 1.8792
O 4.0513 3.7073 4.4249
O 4.0408 1.1846 2.7355
O 5.5439 4.5854 0.5767
O 6.8463 3.7139 4.4161
O 6.7718 1.1706 2.7066
```